1.
{"formula": "NaLi4Sb", "functional": "PBE", "state": "optimized geometry", "lattice_angstrom": [[8.107, -0.150, 0.000], [-3.411, 7.356, 0.000], [-2.348, -3.603, 6.874]], "species": ["Na", "Na", "Li", "Li", "Li", "Li", "Li", "Li", "Li", "Li", "Sb", "Sb"], "frac_coords": [[0.695, 0.695, 0.000], [0.445, 0.945, 0.500], [0.188, 0.937, 0.749], [0.806, 0.465, 0.659], [0.687, 0.438, 0.249], [0.215, 0.056, 0.159], [0.189, 0.438, 0.751], [0.897, 0.056, 0.841], [0.806, 0.147, 0.341], [0.188, 0.439, 0.251], [0.317, 0.317, 0.000], [0.067, 0.567, 0.500]], "e_form_raw_kj_per_mol_atoms": -10.8, "energy_ev_per_cell": -27.5, "m_tot_mub_per_cell": 0.000, "crystal_system": "tetragonal"}

2.
{"formula": "NaLi7Sb4", "functional": "PBE", "state": "optimized geometry", "lattice_angstrom": [[-3.764, 3.197, -0.723], [-7.298, -4.088, 2.687], [-0.805, 4.145, 5.298]], "species": ["Na", "Li", "Li", "Li", "Li", "Li", "Li", "Li", "Sb", "Sb", "Sb", "Sb"], "frac_coords": [[0.000, 0.000, 0.000], [0.783, 0.890, 0.543], [0.217, 0.110, 0.457], [0.091, 0.640, 0.178], [0.909, 0.360, 0.822], [0.356, 0.568, 0.721], [0.500, 0.000, 0.000], [0.644, 0.432, 0.279], [0.565, 0.223, 0.646], [0.435, 0.777, 0.354], [0.709, 0.693, 0.888], [0.291, 0.307, 0.112]], "e_form_raw_kj_per_mol_atoms": -42.8, "energy_ev_per_cell": -36.5, "m_tot_mub_per_cell": 0.000, "crystal_system": "monoclinic"}

3.
{"formula": "NaLiSb2", "functional": "PBE", "state": "optimized geometry", "lattice_angstrom": [[3.871, 0.000, 0.000], [0.000, 3.871, 0.000], [0.000, 0.000, 6.760]], "species": ["Sb", "Sb", "Li", "Na"], "frac_coords": [[0.000, 0.000, 0.793], [0.000, 0.000, 0.207], [0.500, 0.500, 0.000], [0.500, 0.500, 0.500]], "e_form_raw_kj_per_mol_atoms": -30.5, "energy_ev_per_cell": -12.7, "m_tot_mub_per_cell": 0.000, "crystal_system": "tetragonal"}

4.
{"formula": "NaLi2Sb", "functional": "PBE", "state": "optimized geometry", "lattice_angstrom": [[4.035, 0.000, 0.000], [0.000, 4.636, 0.000], [0.000, 0.000, 4.636]], "species": ["Sb", "Li", "Li", "Na"], "frac_coords": [[0.500, 0.000, 0.000], [0.000, 0.000, 0.500], [0.000, 0.500, 0.000], [0.500, 0.500, 0.500]], "e_form_raw_kj_per_mol_atoms": -32.9, "energy_ev_per_cell": -10.6, "m_tot_mub_per_cell": 0.190, "crystal_system": "tetragonal"}

5.
{"formula": "Na2Li5Sb2", "functional": "PBE", "state": "optimized geometry", "lattice_angstrom": [[4.909, 0.000, 0.000], [0.000, 8.512, 0.000], [-2.455, -4.256, 8.706]], "species": ["Na", "Na", "Na", "Na", "Li", "Li", "Li", "Li", "Li", "Li", "Li", "Li", "Li", "Li", "Sb", "Sb", "Sb", "Sb"], "frac_coords": [[0.087, 0.623, 0.173], [0.913, 0.450, 0.827], [0.586, 0.123, 0.173], [0.414, 0.950, 0.827], [0.418, 0.622, 0.837], [0.582, 0.785, 0.163], [0.919, 0.122, 0.837], [0.081, 0.285, 0.163], [0.170, 0.040, 0.340], [0.830, 0.701, 0.660], [0.670, 0.540, 0.340], [0.330, 0.201, 0.660], [0.250, 0.790, 0.500], [0.750, 0.290, 0.500], [0.000, 0.869, 0.000], [0.500, 0.369, 0.000], [0.250, 0.456, 0.500], [0.750, 0.956, 0.500]], "e_form_raw_kj_per_mol_atoms": -39.5, "energy_ev_per_cell": -48.3, "m_tot_mub_per_cell": 0.000, "crystal_system": "orthorhombic"}

6.
{"formula": "Na2Li2Sb3", "functional": "PBE", "state": "optimized geometry", "lattice_angstrom": [[4.605, 0.000, 0.000], [-2.302, 5.874, -0.373], [0.000, -3.532, 6.965]], "species": ["Na", "Na", "Li", "Li", "Sb", "Sb", "Sb"], "frac_coords": [[0.847, 0.693, 0.220], [0.153, 0.307, 0.780], [0.875, 0.749, 0.758], [0.125, 0.251, 0.242], [0.500, 0.000, 0.000], [0.605, 0.210, 0.459], [0.395, 0.790, 0.541]], "e_form_raw_kj_per_mol_atoms": -36.2, "energy_ev_per_cell": -21.5, "m_tot_mub_per_cell": 0.000, "crystal_system": "monoclinic"}

7.
{"formula": "Na2LiSb2", "functional": "PBE", "state": "optimized geometry", "lattice_angstrom": [[4.739, 0.000, 0.000], [2.370, 5.955, -0.087], [2.370, 0.738, 9.672]], "species": ["Na", "Na", "Na", "Na", "Li", "Li", "Sb", "Sb", "Sb", "Sb"], "frac_coords": [[0.311, 0.281, 0.097], [0.496, 0.334, 0.673], [0.689, 0.719, 0.903], [0.504, 0.666, 0.327], [0.776, 0.077, 0.370], [0.224, 0.923, 0.630], [0.985, 0.149, 0.881], [0.136, 0.297, 0.431], [0.015, 0.851, 0.119], [0.864, 0.703, 0.569]], "e_form_raw_kj_per_mol_atoms": -38.1, "energy_ev_per_cell": -29.5, "m_tot_mub_per_cell": 0.000, "crystal_system": "monoclinic"}

8.
{"formula": "NaLi3Sb3", "functional": "PBE", "state": "optimized geometry", "lattice_angstrom": [[-0.559, 7.449, -0.106], [-7.076, -0.498, 2.344], [2.330, 0.276, 7.092]], "species": ["Sb", "Sb", "Sb", "Sb", "Sb", "Sb", "Li", "Li", "Li", "Li", "Li", "Li", "Na", "Na"], "frac_coords": [[0.250, 0.000, 0.500], [0.000, 0.500, 0.250], [0.500, 0.750, 0.000], [0.750, 0.000, 0.500], [0.000, 0.500, 0.750], [0.500, 0.250, 0.000], [0.000, 0.250, 0.500], [0.000, 0.750, 0.500], [0.500, 0.000, 0.750], [0.750, 0.500, 0.000], [0.500, 0.000, 0.250], [0.250, 0.500, 0.000], [0.500, 0.500, 0.500], [0.000, 0.000, 0.000]], "e_form_raw_kj_per_mol_atoms": 6.8, "energy_ev_per_cell": -37.9, "m_tot_mub_per_cell": 0.000, "crystal_system": "cubic"}